Entry 1:
Na2InHg2: optimized geometry, PBE.

Summary:
- space-group type = No. 36
- formation energy (eV/atom) = -0.192
- uncorrected energy (eV/atom) = -1.39
- D(E_F) (states/eV/cell) = 3.5

a b c (Å): 5.238 5.176 9.829
angles (deg): 74.73 90.00 90.00
Fractional positions:
Na1 0.441 0.247 0.506
Na2 0.941 0.753 0.494
Na3 0.439 0.444 0.112
Na4 0.939 0.556 0.888
In1 0.443 0.051 0.898
In2 0.943 0.949 0.102
Hg1 0.942 0.152 0.695
Hg2 0.442 0.848 0.305
Hg3 0.939 0.353 0.293
Hg4 0.439 0.647 0.707



Entry 2:
Na2InHg8: optimized geometry, PBE.

Summary:
- space-group type = No. 123
- formation energy (eV/atom) = -0.128
- uncorrected energy (eV/atom) = -0.84
- D(E_F) (states/eV/cell) = 3.8

a b c (Å): 4.862 4.862 12.466
angles (deg): 90.00 90.00 90.00
Fractional positions:
Na1 0.000 0.000 0.324
Na2 0.000 0.000 0.676
In1 0.000 0.000 0.000
Hg1 0.000 0.500 0.500
Hg2 0.500 0.000 0.500
Hg3 0.500 0.500 0.320
Hg4 0.500 0.500 0.680
Hg5 0.000 0.500 0.148
Hg6 0.500 0.000 0.148
Hg7 0.000 0.500 0.852
Hg8 0.500 0.000 0.852